[1]
The following is a PBE calculation of a relaxed structure of Tm2Zr2In3, from Alexandria via LeMat-Bulk.

Space group ... Cmmm, No. 65

a = 4.709 Å, b = 3.212 Å, c = 11.474 Å
α = 90.00°, β = 78.16°, γ = 90.00°
Atoms (fractional coordinates):
Tm1 0.574 0.500 0.852
Tm2 0.426 0.500 0.148
Zr1 0.711 0.500 0.577
Zr2 0.289 0.500 0.423
In1 0.844 0.000 0.311
In2 0.000 0.000 0.000
In3 0.156 0.000 0.689

[2]
The following is a PBE calculation of a relaxed structure of LiMnBe2, from Alexandria via LeMat-Bulk.

Space group ... R-3m, No. 166

a = 8.263 Å, b = 8.263 Å, c = 8.263 Å
α = 16.73°, β = 16.73°, γ = 16.73°
Atoms (fractional coordinates):
Be1 0.005 0.005 0.005
Be2 0.495 0.495 0.495
Li1 0.250 0.250 0.250
Mn1 0.750 0.750 0.750

[3]
The following is a PBE calculation of a relaxed structure of Li2NbP2, from Alexandria via LeMat-Bulk.

Space group ... P4/mbm, No. 127

a = 6.514 Å, b = 6.514 Å, c = 3.579 Å
α = 90.00°, β = 90.00°, γ = 90.00°
Atoms (fractional coordinates):
P1 0.359 0.859 0.000
P2 0.859 0.641 0.000
P3 0.641 0.141 0.000
P4 0.141 0.359 0.000
Nb1 0.000 0.000 0.000
Nb2 0.500 0.500 0.000
Li1 0.158 0.658 0.500
Li2 0.658 0.842 0.500
Li3 0.842 0.342 0.500
Li4 0.342 0.158 0.500

Number 1: spin magnetization 0.0 μB/f.u., formation energy -0.215 eV/atom. Number 2: spin magnetization 0.0 μB/f.u., formation energy 0.139 eV/atom. Number 3: spin magnetization 0.0 μB/f.u., formation energy -0.401 eV/atom.